[1]
Below is a relaxed structure of LiCuP2, with properties calculated at the PBE-GGA level.

```
LiCuP2
1.0
0.000 3.026 3.026
3.026 0.000 3.026
3.026 3.026 0.000
Li Cu P
1 1 2
direct
0.000 0.000 0.000
0.500 0.500 0.500
0.250 0.250 0.250
0.750 0.750 0.750
```

Output
Formation energy: 0.102 eV/atom
Energy relative to the lowest polymorph listed for this composition: 0.2669 eV per atom

=====

[2]
Below is a relaxed structure of Nd4HoAl5, with properties calculated at the PBE-GGA level.

```
Nd4HoAl5
1.0
3.699 0.000 0.000
0.000 3.699 0.000
0.000 0.000 18.509
Nd Ho Al
4 1 5
direct
0.000 0.000 0.102
0.000 0.000 0.305
0.000 0.000 0.695
0.000 0.000 0.898
0.000 0.000 0.500
0.500 0.500 0.000
0.500 0.500 0.203
0.500 0.500 0.409
0.500 0.500 0.591
0.500 0.500 0.797
```

Output
Formation energy: -0.362 eV/atom

=====

[3]
Below is a relaxed structure of TaMnNi2H, with properties calculated at the PBE-GGA level.

```
TaMnNi2H
1.0
3.617 0.000 0.000
0.000 3.617 0.000
0.000 0.000 4.063
Ta Mn Ni H
1 1 2 1
direct
0.000 0.000 0.000
0.500 0.500 0.000
0.000 0.500 0.500
0.500 0.000 0.500
0.000 0.000 0.500
```

Output
Energy relative to the lowest polymorph listed for this composition: 0.0589 eV per atom

=====

[4]
Below is a relaxed structure of Na2AgHgBr6, with properties calculated at the PBE-GGA level.

```
Na2AgHgBr6
1.0
7.063 0.000 0.000
3.110 6.705 0.000
3.222 1.663 6.693
Na Ag Hg Br
2 1 1 6
direct
0.000 0.000 0.000
0.456 0.539 0.518
0.670 0.687 0.948
0.173 0.205 0.426
0.019 0.805 0.714
0.299 0.604 0.179
0.390 0.119 0.660
0.582 0.905 0.197
0.757 0.428 0.744
0.917 0.291 0.231
```

Output
Raw formation energy: -0.7868 eV per atom

=====

[5]
Below is a relaxed structure of CuOs2O8, with properties calculated at the PBE-GGA level.

```
CuOs2O8
1.0
4.621 -4.258 0.000
4.621 4.258 0.000
-1.188 0.000 5.204
Cu Os O
1 2 8
direct
0.000 0.000 0.000
0.233 0.233 0.589
0.767 0.767 0.411
0.007 0.684 0.290
0.174 0.174 0.247
0.316 0.993 0.710
0.423 0.423 0.704
0.577 0.577 0.296
0.684 0.007 0.290
0.826 0.826 0.753
0.993 0.316 0.710
```

Output
Raw formation energy: -0.7968 eV per atom
Energy relative to the lowest polymorph listed for this composition: 0.0000 eV per atom

=====

[6]
Below is a relaxed structure of LaScOs2, with properties calculated at the PBE-GGA level.

```
LaScOs2
1.0
0.000 3.342 3.342
3.342 0.000 3.342
3.342 3.342 0.000
La Sc Os
1 1 2
direct
0.000 0.000 0.000
0.250 0.250 0.250
0.500 0.500 0.500
0.750 0.750 0.750
```

Output
Formation energy: 0.266 eV/atom
Energy relative to the lowest polymorph listed for this composition: 0.2198 eV per atom